Density functional theory data (PBE) for BaHg11 after structural relaxation.

a = 9.740 Å, b = 9.740 Å, c = 9.740 Å
α = 90.00°, β = 90.00°, γ = 90.00°
Sites, in units of the cell vectors:
Ba (0.000, 0.000, 0.500)
Ba (0.000, 0.500, 0.000)
Ba (0.500, 0.000, 0.000)
Hg (0.000, 0.345, 0.345)
Hg (0.000, 0.345, 0.655)
Hg (0.000, 0.655, 0.345)
Hg (0.000, 0.655, 0.655)
Hg (0.154, 0.154, 0.154)
Hg (0.154, 0.154, 0.846)
Hg (0.154, 0.846, 0.154)
Hg (0.154, 0.846, 0.846)
Hg (0.268, 0.268, 0.500)
Hg (0.268, 0.500, 0.268)
Hg (0.268, 0.500, 0.732)
Hg (0.268, 0.732, 0.500)
Hg (0.345, 0.000, 0.345)
Hg (0.345, 0.000, 0.655)
Hg (0.345, 0.345, 0.000)
Hg (0.345, 0.655, 0.000)
Hg (0.500, 0.268, 0.268)
Hg (0.500, 0.268, 0.732)
Hg (0.500, 0.500, 0.500)
Hg (0.500, 0.732, 0.268)
Hg (0.500, 0.732, 0.732)
Hg (0.655, 0.000, 0.345)
Hg (0.655, 0.000, 0.655)
Hg (0.655, 0.345, 0.000)
Hg (0.655, 0.655, 0.000)
Hg (0.732, 0.268, 0.500)
Hg (0.732, 0.500, 0.268)
Hg (0.732, 0.500, 0.732)
Hg (0.732, 0.732, 0.500)
Hg (0.846, 0.154, 0.154)
Hg (0.846, 0.154, 0.846)
Hg (0.846, 0.846, 0.154)
Hg (0.846, 0.846, 0.846)

Computed properties:
Symmetry: Pm-3m, No. 221
E, eV/cell: -20.22
ΔE to the lowest computed polymorph, meV per atom: 0